## a
The following is a DFT calculation (PBE) of Sc2NiIr2 after structural relaxation.

Values from the calculation:
Symmetry: P4/mbm (127)
Spin magnetization (μB per formula unit): 0.0

Cell: 6.536 6.536 4.010 Å, 90.00 90.00 90.00°
Positions (direct):
Sc  0.175  0.675  0.500
Sc  0.675  0.825  0.500
Sc  0.825  0.325  0.500
Sc  0.325  0.175  0.500
Ni  0.000  0.000  0.000
Ni  0.500  0.500  0.000
Ir  0.362  0.862  0.000
Ir  0.862  0.638  0.000
Ir  0.638  0.138  0.000
Ir  0.138  0.362  0.000

## b
The following is a DFT calculation (PBE) of Sc2NiIr2 after structural relaxation.

Values from the calculation:
Symmetry: I4/mmm (139)
Spin magnetization (μB per formula unit): 0.0

Cell: 3.598 3.598 7.714 Å, 76.51 76.51 90.00°
Positions (direct):
Sc  0.396  0.396  0.209
Sc  0.604  0.604  0.791
Ni  0.000  0.000  0.000
Ir  0.750  0.250  0.500
Ir  0.250  0.750  0.500

## c
The following is a DFT calculation (PBE) of Sc2NiIr2 after structural relaxation.

Values from the calculation:
Symmetry: P4/mbm (127)
Spin magnetization (μB per formula unit): 0.0

Cell: 7.524 7.524 3.041 Å, 90.00 90.00 90.00°
Positions (direct):
Sc  0.348  0.848  0.000
Sc  0.848  0.652  0.000
Sc  0.652  0.152  0.000
Sc  0.152  0.348  0.000
Ni  0.000  0.000  0.000
Ni  0.500  0.500  0.000
Ir  0.149  0.649  0.500
Ir  0.649  0.851  0.500
Ir  0.851  0.351  0.500
Ir  0.351  0.149  0.500

Which one is most stable, and which one is least stable? a is the most stable of them, while b is the least stable.

## a
The following is a DFT calculation (PBE) of ScNiIr after structural relaxation.

Values from the calculation:
Symmetry: P-6m2 (187)
Spin magnetization (μB per formula unit): 0.0

Cell: 4.145 4.145 3.234 Å, 90.00 90.00 120.00°
Positions (direct):
Sc  0.333  0.667  0.000
Ni  0.667  0.333  0.500
Ir  0.000  0.000  0.500

## b
The following is a DFT calculation (PBE) of ScNiIr after structural relaxation.

Values from the calculation:
Symmetry: Cm (8)
Spin magnetization (μB per formula unit): 0.0

Cell: 5.408 4.052 8.500 Å, 90.00 105.70 90.00°
Positions (direct):
Sc  0.014  0.000  0.843
Sc  0.014  0.500  0.343
Sc  0.389  0.000  0.559
Sc  0.389  0.500  0.059
Ni  0.702  0.000  0.196
Ni  0.702  0.500  0.696
Ni  0.546  0.000  0.879
Ni  0.546  0.500  0.379
Ir  0.211  0.000  0.205
Ir  0.211  0.500  0.705
Ir  0.852  0.000  0.512
Ir  0.852  0.500  0.012

Which one is most stable, and which one is least stable? b is the most stable of them, while a is the least stable.